(1)
Computed, not measured: crystalline DyErS at its relaxed geometry at the GGA-PBE level of DFT.

Structure (POSCAR):
```
DyErS
1.0
1.882 1.086 6.181
-1.882 1.086 6.181
0.000 -2.173 6.181
Dy Er S
1 1 1
Direct
0.000 0.000 0.000 Dy
0.507 0.507 0.507 Er
0.755 0.755 0.755 S
```

Results
- E above lowest polymorph (meV per atom) = 3
- V (Å³/f.u.) = 75.8
- uncorrected formation energy (eV per atom) = -1.271

(2)
Computed, not measured: crystalline LaAuI at its relaxed geometry at the GGA-PBE level of DFT.

Structure (POSCAR):
```
LaAuI
1.0
0.000 6.954 4.317
6.933 0.000 4.317
6.933 6.954 0.000
La Au I
4 4 4
Direct
0.035 0.465 0.072 La
0.178 0.822 0.215 La
0.465 0.035 0.428 La
0.822 0.178 0.785 La
0.138 0.913 0.876 Au
0.177 0.374 0.337 Au
0.374 0.177 0.112 Au
0.913 0.138 0.073 Au
0.219 0.631 0.600 I
0.631 0.219 0.550 I
0.650 0.700 0.031 I
0.700 0.650 0.619 I
```

Results
- V (Å³/f.u.) = 104.1
- uncorrected formation energy (eV per atom) = -0.923